The following is a DFT calculation (PBE) of a relaxed Sc2CuTe2 crystal.

Cell: 5.0690 5.0690 11.4998 Å, 90.00 90.00 90.00°
Sites, in units of the cell vectors:
Sc  0.0000  0.5000  0.2500
Sc  0.0000  0.5000  0.7500
Sc  0.5000  0.0000  0.2500
Sc  0.5000  0.0000  0.7500
Cu  0.0000  0.0000  0.0000
Cu  0.5000  0.5000  0.5000
Te  0.0000  0.0000  0.3579
Te  0.0000  0.0000  0.6421
Te  0.5000  0.5000  0.1421
Te  0.5000  0.5000  0.8579

## Properties
As for the symmetry: No. 139. As for the formation energy from raw total energies: -323 meV/atom. Its relative energy among the computed polymorphs is 338 meV per atom.


The following is a DFT calculation (PBE) of a relaxed ScCuTe3 crystal.

Cell: 5.1211 5.1211 5.1211 Å, 90.00 90.00 90.00°
Sites, in units of the cell vectors:
Sc  0.0000  0.0000  0.0000
Cu  0.5000  0.5000  0.5000
Te  0.0000  0.5000  0.5000
Te  0.5000  0.0000  0.5000
Te  0.5000  0.5000  0.0000

## Properties
As for the symmetry: No. 221. As for the formation energy from raw total energies: 71 meV/atom. Its relative energy among the computed polymorphs is 634 meV per atom.


The following is a DFT calculation (PBE) of a relaxed ScCuTe4 crystal.

Cell: 6.2355 6.2355 6.2355 Å, 60.00 60.00 60.00°
Sites, in units of the cell vectors:
Sc  0.0000  0.0000  0.0000
Cu  0.2500  0.2500  0.2500
Te  0.1254  0.6248  0.6248
Te  0.6248  0.1254  0.6248
Te  0.6248  0.6248  0.1254
Te  0.6248  0.6248  0.6248

## Properties
As for the symmetry: No. 216. As for the formation energy from raw total energies: 493 meV/atom.


The following is a DFT calculation (PBE) of a relaxed Sc2CuTe crystal.

Cell: 4.7046 4.7046 3.6942 Å, 90.00 90.00 90.00°
Sites, in units of the cell vectors:
Sc  0.0000  0.5000  0.0000
Sc  0.5000  0.0000  0.0000
Cu  0.0000  0.0000  0.5000
Te  0.5000  0.5000  0.5000

## Properties
As for the symmetry: No. 123. As for the formation energy from raw total energies: -456 meV/atom. Its relative energy among the computed polymorphs is 154 meV per atom.


The following is a DFT calculation (PBE) of a relaxed ScCuTe2 crystal.

Cell: 6.2859 6.2859 12.5076 Å, 90.00 90.00 90.00°
Sites, in units of the cell vectors:
Sc  0.0000  0.0000  0.0000
Sc  0.0000  0.5000  0.2500
Sc  0.5000  0.0000  0.7500
Sc  0.5000  0.5000  0.5000
Cu  0.0000  0.0000  0.5000
Cu  0.0000  0.5000  0.7500
Cu  0.5000  0.0000  0.2500
Cu  0.5000  0.5000  0.0000
Te  0.2244  0.2500  0.6250
Te  0.2500  0.7244  0.8750
Te  0.2500  0.7756  0.3750
Te  0.2756  0.2500  0.1250
Te  0.7244  0.7500  0.1250
Te  0.7500  0.2244  0.3750
Te  0.7500  0.2756  0.8750
Te  0.7756  0.7500  0.6250

## Properties
As for the symmetry: No. 122. As for the formation energy from raw total energies: -620 meV/atom.


The following is a DFT calculation (PBE) of a relaxed Sc3CuTe crystal.

Cell: 10.4812 10.4812 5.7839 Å, 98.63 98.63 20.52°
Sites, in units of the cell vectors:
Sc  0.0033  0.0033  0.2615
Sc  0.2008  0.2008  0.1238
Sc  0.3682  0.3682  0.4289
Sc  0.6318  0.6318  0.5711
Sc  0.7992  0.7992  0.8762
Sc  0.9967  0.9967  0.7385
Cu  0.2297  0.2297  0.6178
Cu  0.7703  0.7703  0.3822
Te  0.4111  0.4111  0.9602
Te  0.5889  0.5889  0.0398

## Properties
As for the symmetry: No. 12. As for the formation energy from raw total energies: -503 meV/atom. Its relative energy among the computed polymorphs is 0 meV per atom.


The following is a DFT calculation (PBE) of a relaxed ScCuTe2 crystal.

Cell: 7.1173 4.1072 7.0970 Å, 90.00 109.69 90.00°
Sites, in units of the cell vectors:
Sc  0.0000  0.0000  0.0000
Sc  0.5000  0.5000  0.0000
Cu  0.0000  0.5000  0.5000
Cu  0.5000  0.0000  0.5000
Te  0.2449  0.0000  0.7368
Te  0.2551  0.5000  0.2632
Te  0.7449  0.5000  0.7368
Te  0.7551  0.0000  0.2632

## Properties
As for the symmetry: No. 12. As for the formation energy from raw total energies: -616 meV/atom.


The following is a DFT calculation (PBE) of a relaxed ScCuTe2 crystal.

Cell: 14.4878 4.1954 6.7487 Å, 90.00 90.00 90.00°
Sites, in units of the cell vectors:
Sc  0.1233  0.2500  0.0208
Sc  0.3767  0.7500  0.5208
Sc  0.6233  0.2500  0.4792
Sc  0.8767  0.7500  0.9792
Cu  0.0546  0.7500  0.3423
Cu  0.4454  0.2500  0.8423
Cu  0.5546  0.7500  0.1577
Cu  0.9454  0.2500  0.6577
Te  0.0493  0.7500  0.7423
Te  0.2207  0.7500  0.2198
Te  0.2793  0.2500  0.7198
Te  0.4507  0.2500  0.2423
Te  0.5493  0.7500  0.7577
Te  0.7207  0.7500  0.2802
Te  0.7793  0.2500  0.7802
Te  0.9507  0.2500  0.2577

## Properties
As for the symmetry: No. 62. As for the formation energy from raw total energies: -769 meV/atom.


Please write out number 3 again, unchanged.
The following is a DFT calculation (PBE) of a relaxed ScCuTe4 crystal.

Cell: 6.2355 6.2355 6.2355 Å, 60.00 60.00 60.00°
Sites, in units of the cell vectors:
Sc  0.0000  0.0000  0.0000
Cu  0.2500  0.2500  0.2500
Te  0.1254  0.6248  0.6248
Te  0.6248  0.1254  0.6248
Te  0.6248  0.6248  0.1254
Te  0.6248  0.6248  0.6248

## Properties
As for the symmetry: No. 216. As for the formation energy from raw total energies: 493 meV/atom.


Q: Which value of formation energy from raw total energies does entry 3 give?
A: 493 meV/atom


Q: Among the records above, which one has the highest formation energy from raw total energies?
A: ScCuTe4